# 1
A plane-wave DFT calculation with GGA-PBE was carried out for a relaxed Sc2HW crystal.

abc: 8.546 8.546 8.546
angles: 21.07 21.07 21.07
Positions (direct):
Sc (0.078, 0.078, 0.078)
Sc (0.922, 0.922, 0.922)
H (0.000, 0.000, 0.000)
W (0.500, 0.500, 0.500)

Properties
Theoretical density = 6.46 Mg/m³
ΔE to the lowest computed polymorph = 0.444 eV per formula unit
DFT total energy = -6.823 eV per atom
Density of states at the Fermi level = 4.8 states/eV per cell


# 2
A plane-wave DFT calculation with GGA-PBE was carried out for a relaxed TiAgN2 crystal.

abc: 5.771 5.771 5.771
angles: 129.86 129.86 73.63
Positions (direct):
Ti (0.000, 0.000, 0.000)
Ti (0.750, 0.250, 0.500)
Ag (0.250, 0.750, 0.500)
Ag (0.500, 0.500, 0.000)
N (0.068, 0.625, 0.943)
N (0.375, 0.318, 0.443)
N (0.682, 0.125, 0.057)
N (0.875, 0.932, 0.557)

Properties
Energy relative to the elements, uncorrected = -0.80 eV/f.u.
Theoretical density = 5.52 Mg/m³
ΔE to the lowest computed polymorph = 0.132 eV per formula unit
DFT total energy = -7.049 eV per atom
Density of states at the Fermi level = 4.1 states/eV per cell


# 3
A plane-wave DFT calculation with GGA-PBE was carried out for a relaxed Pu6Fe crystal.

abc: 7.662 7.662 7.662
angles: 97.58 97.58 137.41
Positions (direct):
Pu (0.085, 0.776, 0.861)
Pu (0.098, 0.402, 0.500)
Pu (0.224, 0.085, 0.310)
Pu (0.276, 0.585, 0.861)
Pu (0.402, 0.902, 0.304)
Pu (0.415, 0.276, 0.690)
Pu (0.585, 0.724, 0.310)
Pu (0.598, 0.098, 0.696)
Pu (0.724, 0.415, 0.139)
Pu (0.776, 0.915, 0.690)
Pu (0.902, 0.598, 0.500)
Pu (0.915, 0.224, 0.139)
Fe (0.250, 0.250, 0.000)
Fe (0.750, 0.750, 0.000)

Properties
Theoretical density = 17.80 Mg/m³
DFT total energy = -13.351 eV per atom
Density of states at the Fermi level = 43.5 states/eV per cell
DFT formation energy = 13.7 kJ/mol of atoms


# 4
A plane-wave DFT calculation with GGA-PBE was carried out for a relaxed SrMnIr2 crystal.

abc: 9.089 9.089 9.089
angles: 19.27 19.27 19.27
Positions (direct):
Sr (0.000, 0.000, 0.000)
Mn (0.500, 0.500, 0.500)
Ir (0.237, 0.237, 0.237)
Ir (0.763, 0.763, 0.763)

Properties
Theoretical density = 12.24 Mg/m³
ΔE to the lowest computed polymorph = 2.007 eV per formula unit
DFT total energy = -6.716 eV per atom
Density of states at the Fermi level = 3.3 states/eV per cell
DFT formation energy = 41.2 kJ/mol of atoms


# 5
A plane-wave DFT calculation with GGA-PBE was carried out for a relaxed Np2Si3Pt12Rh crystal.

abc: 7.573 7.573 7.573
angles: 65.39 65.39 65.39
Positions (direct):
Np (0.112, 0.112, 0.112)
Np (0.888, 0.888, 0.888)
Si (0.000, 0.500, 0.500)
Si (0.500, 0.000, 0.500)
Si (0.500, 0.500, 0.000)
Pt (0.114, 0.642, 0.642)
Pt (0.138, 0.138, 0.608)
Pt (0.138, 0.608, 0.138)
Pt (0.358, 0.358, 0.886)
Pt (0.358, 0.886, 0.358)
Pt (0.392, 0.862, 0.862)
Pt (0.608, 0.138, 0.138)
Pt (0.642, 0.114, 0.642)
Pt (0.642, 0.642, 0.114)
Pt (0.862, 0.392, 0.862)
Pt (0.862, 0.862, 0.392)
Pt (0.886, 0.358, 0.358)
Rh (0.500, 0.500, 0.500)

Properties
Energy relative to the elements, uncorrected = -4.72 eV/f.u.
Theoretical density = 14.53 Mg/m³
DFT total energy = -7.039 eV per atom
Density of states at the Fermi level = 21.7 states/eV per cell


# 6
A plane-wave DFT calculation with GGA-PBE was carried out for a relaxed SrCdCN2 crystal.

abc: 4.882 4.882 5.287
angles: 90.00 90.00 90.00
Positions (direct):
Sr (0.000, 0.000, 0.000)
Cd (0.500, 0.500, 0.500)
C (0.000, 0.000, 0.500)
N (0.000, 0.500, 0.000)
N (0.500, 0.000, 0.000)

Properties
Energy relative to the elements, uncorrected = 13.06 eV/f.u.
Theoretical density = 3.16 Mg/m³
DFT total energy = -3.083 eV per atom
Density of states at the Fermi level = 6.7 states/eV per cell


# 7
A plane-wave DFT calculation with GGA-PBE was carried out for a relaxed Pd2I3Br crystal.

abc: 13.213 13.213 7.454
angles: 91.03 91.03 19.69
Positions (direct):
Pd (0.054, 0.054, 0.052)
Pd (0.305, 0.305, 0.097)
Pd (0.695, 0.695, 0.903)
Pd (0.946, 0.946, 0.948)
I (0.020, 0.020, 0.710)
I (0.248, 0.248, 0.797)
I (0.391, 0.391, 0.905)
I (0.609, 0.609, 0.095)
I (0.752, 0.752, 0.203)
I (0.980, 0.980, 0.290)
Br (0.351, 0.351, 0.389)
Br (0.649, 0.649, 0.611)

Properties
Energy relative to the elements, uncorrected = -0.51 eV/f.u.
Theoretical density = 5.10 Mg/m³
ΔE to the lowest computed polymorph = 0.042 eV per formula unit
DFT total energy = -2.870 eV per atom
Density of states at the Fermi level = 7.0 states/eV per cell


# 8
A plane-wave DFT calculation with GGA-PBE was carried out for a relaxed Li2CdRe crystal.

abc: 2.677 2.677 9.549
angles: 90.00 90.00 109.97
Positions (direct):
Li (0.000, 0.000, 0.234)
Li (0.000, 0.000, 0.766)
Cd (0.500, 0.500, 0.500)
Re (0.500, 0.500, 0.000)

Properties
Theoretical density = 8.07 Mg/m³
DFT total energy = -4.143 eV per atom
Density of states at the Fermi level = 2.5 states/eV per cell
DFT formation energy = 14.9 kJ/mol of atoms


# 9
A plane-wave DFT calculation with GGA-PBE was carried out for a relaxed Ce2GaRu2 crystal.

abc: 5.744 5.744 8.056
angles: 110.34 110.34 58.26
Positions (direct):
Ce (0.006, 0.699, 0.841)
Ce (0.301, 0.994, 0.659)
Ce (0.699, 0.006, 0.341)
Ce (0.994, 0.301, 0.159)
Ga (0.373, 0.627, 0.250)
Ga (0.627, 0.373, 0.750)
Ru (0.208, 0.521, 0.461)
Ru (0.479, 0.792, 0.039)
Ru (0.521, 0.208, 0.961)
Ru (0.792, 0.479, 0.539)

Properties
Theoretical density = 8.84 Mg/m³
DFT total energy = -7.221 eV per atom
Density of states at the Fermi level = 10.7 states/eV per cell
DFT formation energy = -51.3 kJ/mol of atoms


# 10
A plane-wave DFT calculation with GGA-PBE was carried out for a relaxed KAl2Pt crystal.

abc: 4.708 4.708 4.708
angles: 60.00 60.00 60.00
Positions (direct):
K (0.000, 0.000, 0.000)
Al (0.250, 0.250, 0.250)
Al (0.750, 0.750, 0.750)
Pt (0.500, 0.500, 0.500)

Properties
Theoretical density = 6.49 Mg/m³
DFT total energy = -3.623 eV per atom
Density of states at the Fermi level = 1.9 states/eV per cell
DFT formation energy = 3.2 kJ/mol of atoms


# 11
A plane-wave DFT calculation with GGA-PBE was carried out for a relaxed MnBiSe2 crystal.

abc: 6.321 10.055 6.619
angles: 90.00 90.00 90.00
Positions (direct):
Mn (0.085, 0.140, 0.000)
Mn (0.415, 0.640, 0.500)
Mn (0.585, 0.360, 0.000)
Mn (0.915, 0.860, 0.500)
Bi (0.021, 0.710, 0.864)
Bi (0.479, 0.210, 0.364)
Bi (0.521, 0.790, 0.864)
Bi (0.979, 0.290, 0.364)
Se (0.022, 0.932, 0.162)
Se (0.032, 0.629, 0.445)
Se (0.468, 0.129, 0.945)
Se (0.478, 0.432, 0.662)
Se (0.522, 0.568, 0.162)
Se (0.532, 0.871, 0.445)
Se (0.968, 0.371, 0.945)
Se (0.978, 0.068, 0.662)

Properties
Energy relative to the elements, uncorrected = -0.70 eV/f.u.
Theoretical density = 6.66 Mg/m³
DFT total energy = -5.179 eV per atom
Density of states at the Fermi level = 8.8 states/eV per cell


# 12
A plane-wave DFT calculation with GGA-PBE was carried out for a relaxed CdIBr crystal.

abc: 4.205 4.205 7.110
angles: 90.00 90.00 120.00
Positions (direct):
Cd (0.000, 0.000, 0.000)
I (0.333, 0.667, 0.753)
Br (0.667, 0.333, 0.215)

Properties
Energy relative to the elements, uncorrected = -2.11 eV/f.u.
Theoretical density = 4.87 Mg/m³
DFT total energy = -2.082 eV per atom
Density of states at the Fermi level = 0.0 states/eV per cell


# 13
A plane-wave DFT calculation with GGA-PBE was carried out for a relaxed Rb2MgTaI6 crystal.

abc: 8.288 8.288 8.288
angles: 119.96 119.96 90.07
Positions (direct):
Rb (0.250, 0.750, 0.500)
Rb (0.750, 0.250, 0.500)
Mg (0.000, 0.000, 0.000)
Ta (0.500, 0.500, 0.000)
I (0.253, 0.253, 0.000)
I (0.253, 0.253, 0.507)
I (0.253, 0.747, 0.000)
I (0.747, 0.253, 0.000)
I (0.747, 0.747, 0.000)
I (0.747, 0.747, 0.493)

Properties
Energy relative to the elements, uncorrected = -7.34 eV/f.u.
Theoretical density = 4.69 Mg/m³
DFT total energy = -3.202 eV per atom
Density of states at the Fermi level = 4.8 states/eV per cell


# 14
A plane-wave DFT calculation with GGA-PBE was carried out for a relaxed Y4SiS2O crystal.

abc: 6.726 5.576 6.717
angles: 65.58 49.01 65.41
Positions (direct):
Y (0.242, 0.758, 0.242)
Y (0.548, 0.995, 0.452)
Y (0.758, 0.242, 0.758)
Y (0.995, 0.548, 0.005)
Si (0.495, 0.495, 0.505)
S (0.251, 0.251, 0.249)
S (0.751, 0.751, 0.749)
O (0.952, 0.952, 0.048)

Properties
Energy relative to the elements, uncorrected = -14.87 eV/f.u.
Theoretical density = 4.55 Mg/m³
DFT total energy = -7.420 eV per atom
Density of states at the Fermi level = 2.1 states/eV per cell


# 15
A plane-wave DFT calculation with GGA-PBE was carried out for a relaxed MoP2RuS crystal.

abc: 4.448 4.448 4.642
angles: 90.00 90.00 90.00
Positions (direct):
Mo (0.000, 0.000, 0.000)
P (0.000, 0.500, 0.500)
P (0.500, 0.000, 0.500)
Ru (0.500, 0.500, 0.500)
S (0.500, 0.500, 0.000)

Properties
Energy relative to the elements, uncorrected = 5.39 eV/f.u.
Theoretical density = 5.26 Mg/m³
ΔE to the lowest computed polymorph = 0.424 eV per formula unit
DFT total energy = -5.933 eV per atom
Density of states at the Fermi level = 8.1 states/eV per cell


# 16
A plane-wave DFT calculation with GGA-PBE was carried out for a relaxed SmEr7Tm4 crystal.

abc: 6.445 6.758 8.890
angles: 84.89 76.51 80.94
Positions (direct):
Sm (0.000, 0.000, 0.000)
Er (0.000, 0.500, 0.000)
Er (0.191, 0.103, 0.386)
Er (0.316, 0.709, 0.646)
Er (0.482, 0.252, 0.048)
Er (0.518, 0.748, 0.952)
Er (0.684, 0.291, 0.354)
Er (0.809, 0.897, 0.614)
Tm (0.168, 0.611, 0.317)
Tm (0.357, 0.201, 0.709)
Tm (0.643, 0.799, 0.291)
Tm (0.832, 0.389, 0.683)

Properties
Theoretical density = 8.93 Mg/m³
DFT total energy = -4.455 eV per atom
Density of states at the Fermi level = 21.1 states/eV per cell
DFT formation energy = 8.7 kJ/mol of atoms


# 17
A plane-wave DFT calculation with GGA-PBE was carried out for a relaxed NaNdSc crystal.

abc: 5.458 5.458 7.094
angles: 90.00 90.00 120.00
Positions (direct):
Na (0.333, 0.667, 0.001)
Na (0.667, 0.333, 0.999)
Nd (0.000, 0.000, 0.270)
Nd (0.000, 0.000, 0.730)
Sc (0.333, 0.667, 0.500)
Sc (0.667, 0.333, 0.500)

Properties
Theoretical density = 3.85 Mg/m³
ΔE to the lowest computed polymorph = 0.080 eV per formula unit
DFT total energy = -3.935 eV per atom
Density of states at the Fermi level = 7.9 states/eV per cell
DFT formation energy = 19.7 kJ/mol of atoms


# 18
A plane-wave DFT calculation with GGA-PBE was carried out for a relaxed AlIn crystal.

abc: 4.329 4.329 6.158
angles: 90.00 90.00 120.00
Positions (direct):
Al (0.333, 0.667, 0.250)
Al (0.667, 0.333, 0.750)
In (0.000, 0.000, 0.000)
In (0.000, 0.000, 0.500)

Properties
Theoretical density = 4.71 Mg/m³
DFT total energy = -2.926 eV per atom
Density of states at the Fermi level = 2.7 states/eV per cell
DFT formation energy = 30.4 kJ/mol of atoms


# 19
A plane-wave DFT calculation with GGA-PBE was carried out for a relaxed Tl2InFe crystal.

abc: 5.045 5.045 5.045
angles: 60.00 60.00 60.00
Positions (direct):
Tl (0.250, 0.250, 0.250)
Tl (0.750, 0.750, 0.750)
In (0.000, 0.000, 0.000)
Fe (0.500, 0.500, 0.500)

Properties
Theoretical density = 10.60 Mg/m³
ΔE to the lowest computed polymorph = 2.090 eV per formula unit
DFT total energy = -3.152 eV per atom
Density of states at the Fermi level = 8.1 states/eV per cell
DFT formation energy = 80.2 kJ/mol of atoms


# 20
A plane-wave DFT calculation with GGA-PBE was carried out for a relaxed Ga2ReO6 crystal.

abc: 4.582 4.582 9.170
angles: 90.00 90.00 90.00
Positions (direct):
Ga (0.000, 0.000, 0.166)
Ga (0.000, 0.000, 0.834)
Ga (0.500, 0.500, 0.334)
Ga (0.500, 0.500, 0.666)
Re (0.000, 0.000, 0.500)
Re (0.500, 0.500, 0.000)
O (0.194, 0.194, 0.338)
O (0.194, 0.194, 0.662)
O (0.205, 0.205, 0.000)
O (0.295, 0.705, 0.500)
O (0.306, 0.694, 0.162)
O (0.306, 0.694, 0.838)
O (0.694, 0.306, 0.162)
O (0.694, 0.306, 0.838)
O (0.705, 0.295, 0.500)
O (0.795, 0.795, 0.000)
O (0.806, 0.806, 0.338)
O (0.806, 0.806, 0.662)

Properties
Energy relative to the elements, uncorrected = -14.75 eV/f.u.
Theoretical density = 7.27 Mg/m³
DFT total energy = -7.000 eV per atom
Density of states at the Fermi level = 0.8 states/eV per cell


# 21
A plane-wave DFT calculation with GGA-PBE was carried out for a relaxed Ac2HoPd9 crystal.

abc: 4.269 4.269 12.644
angles: 90.00 90.00 90.00
Positions (direct):
Ac (0.000, 0.000, 0.173)
Ac (0.000, 0.000, 0.827)
Ho (0.000, 0.000, 0.500)
Pd (0.000, 0.500, 0.000)
Pd (0.000, 0.500, 0.345)
Pd (0.000, 0.500, 0.655)
Pd (0.500, 0.000, 0.000)
Pd (0.500, 0.000, 0.345)
Pd (0.500, 0.000, 0.655)
Pd (0.500, 0.500, 0.172)
Pd (0.500, 0.500, 0.500)
Pd (0.500, 0.500, 0.828)

Properties
Theoretical density = 11.36 Mg/m³
DFT total energy = -5.732 eV per atom
Density of states at the Fermi level = 7.2 states/eV per cell
DFT formation energy = -74.4 kJ/mol of atoms


# 22
A plane-wave DFT calculation with GGA-PBE was carried out for a relaxed RbBaPb6 crystal.

abc: 5.907 7.525 7.525
angles: 60.38 90.00 90.00
Positions (direct):
Rb (0.000, 0.000, 0.000)
Ba (0.500, 0.330, 0.330)
Pb (0.000, 0.521, 0.521)
Pb (0.000, 0.525, 0.949)
Pb (0.000, 0.949, 0.525)
Pb (0.500, 0.381, 0.805)
Pb (0.500, 0.805, 0.381)
Pb (0.500, 0.809, 0.809)

Properties
Theoretical density = 8.37 Mg/m³
DFT total energy = -3.342 eV per atom
Density of states at the Fermi level = 5.8 states/eV per cell
DFT formation energy = -19.2 kJ/mol of atoms


# 23
A plane-wave DFT calculation with GGA-PBE was carried out for a relaxed LaIn2C crystal.

abc: 6.438 6.438 6.438
angles: 100.35 100.35 129.83
Positions (direct):
La (0.000, 0.000, 0.000)
La (0.750, 0.250, 0.500)
In (0.215, 0.125, 0.590)
In (0.375, 0.785, 0.910)
In (0.535, 0.625, 0.410)
In (0.875, 0.465, 0.090)
C (0.250, 0.750, 0.500)
C (0.500, 0.500, 0.000)

Properties
Theoretical density = 6.81 Mg/m³
ΔE to the lowest computed polymorph = 0.000 eV per formula unit
DFT total energy = -4.518 eV per atom
Density of states at the Fermi level = 6.0 states/eV per cell
DFT formation energy = 37.5 kJ/mol of atoms


# 24
A plane-wave DFT calculation with GGA-PBE was carried out for a relaxed SmDy4As5 crystal.

abc: 10.946 10.946 10.946
angles: 158.20 149.00 38.22
Positions (direct):
Sm (0.000, 0.000, 0.000)
Dy (0.201, 0.201, 0.000)
Dy (0.400, 0.400, 0.000)
Dy (0.600, 0.600, 0.000)
Dy (0.799, 0.799, 0.000)
As (0.102, 0.602, 0.500)
As (0.300, 0.800, 0.500)
As (0.500, 0.000, 0.500)
As (0.700, 0.200, 0.500)
As (0.898, 0.398, 0.500)

Properties
Theoretical density = 7.79 Mg/m³
DFT total energy = -6.170 eV per atom
Density of states at the Fermi level = 1.7 states/eV per cell
DFT formation energy = -147.9 kJ/mol of atoms